Entry from the Alexandria database: a relaxed structure of SrLiPuTe3 (PBE).

Results
- energy relative to the elements, uncorrected (eV/atom) = -1.226
- magnetic moment (Bohr magnetons per cell) = 10.0

a = 4.490 Å, b = 9.235 Å, c = 9.765 Å
α = 103.40°, β = 90.00°, γ = 90.00°
Site moments in Bohr magnetons follow the coordinates.
Sites, in units of the cell vectors:
Li: 0.250 0.085 0.586  0.00
Te: 0.750 0.224 0.510  -0.05
Sr: 0.250 0.188 0.238  -0.01
Te: 0.750 0.898 0.129  -0.08
Te: 0.250 0.102 0.871  -0.08
Te: 0.750 0.439 0.169  -0.11
Pu: 0.750 0.329 0.839  5.22
Te: 0.250 0.776 0.490  -0.05
Te: 0.250 0.561 0.831  -0.11
Li: 0.750 0.915 0.414  0.00
Pu: 0.250 0.671 0.161  5.22
Sr: 0.750 0.812 0.762  -0.01

Entry from the Alexandria database: a relaxed structure of Pu2Tl3TeSe6 (PBE).

Results
- energy relative to the elements, uncorrected (eV/atom) = -0.748
- magnetic moment (Bohr magnetons per cell) = 10.0

a = 7.322 Å, b = 7.322 Å, c = 8.137 Å
α = 99.65°, β = 99.65°, γ = 118.94°
Site moments in Bohr magnetons follow the coordinates.
Sites, in units of the cell vectors:
Se: 0.714 0.714 0.231  -0.09
Se: 0.600 0.932 0.800  -0.07
Pu: 0.336 0.664 0.000  5.13
Te: 0.000 0.000 0.000  0.03
Se: 0.400 0.068 0.200  -0.07
Pu: 0.664 0.336 0.000  5.13
Tl: 0.832 0.168 0.500  0.00
Tl: 0.168 0.832 0.500  0.00
Tl: 0.500 0.500 0.500  -0.01
Se: 0.068 0.400 0.200  -0.07
Se: 0.932 0.600 0.800  -0.07
Se: 0.286 0.286 0.769  -0.09

Entry from the Alexandria database: a relaxed structure of SrLuIn4 (PBE).

Results
- ΔH_f (0 K) (kJ per mole of atoms) = -24
- magnetic moment (Bohr magnetons per cell) = 0.0

a = 6.128 Å, b = 6.128 Å, c = 6.128 Å
α = 60.00°, β = 60.00°, γ = 60.00°
Sites, in units of the cell vectors:
In: 0.625 0.124 0.625
In: 0.625 0.625 0.625
Lu: 0.000 0.000 0.000
In: 0.625 0.625 0.124
In: 0.124 0.625 0.625
Sr: 0.250 0.250 0.250

Entry from the Alexandria database: a relaxed structure of CrIn4Br6 (PBE).

Results
- energy relative to the elements, uncorrected (eV/atom) = -0.639
- magnetic moment (Bohr magnetons per cell) = 8.0

a = 8.667 Å, b = 8.667 Å, c = 9.365 Å
α = 90.00°, β = 90.00°, γ = 90.00°
Site moments in Bohr magnetons follow the coordinates.
Sites, in units of the cell vectors:
Cr: 0.000 0.000 0.500  3.62
Br: 0.647 0.216 0.000  0.00
Br: 0.284 0.853 0.500  0.00
In: 0.645 0.855 0.250  0.00
Br: 0.500 0.500 0.728  -0.02
Br: 0.147 0.284 0.500  0.00
In: 0.145 0.645 0.750  0.00
Br: 0.216 0.353 0.000  0.00
Br: 0.000 0.000 0.772  -0.02
In: 0.355 0.145 0.250  0.00
In: 0.355 0.145 0.750  0.00
Br: 0.500 0.500 0.272  -0.02
In: 0.855 0.355 0.750  0.00
In: 0.145 0.645 0.250  0.00
In: 0.645 0.855 0.750  0.00
Br: 0.716 0.147 0.500  0.00
Br: 0.784 0.647 0.000  0.00
In: 0.855 0.355 0.250  0.00
Br: 0.000 0.000 0.228  -0.02
Cr: 0.500 0.500 0.000  3.62
Br: 0.853 0.716 0.500  0.00
Br: 0.353 0.784 0.000  0.00